No. 1
Here is crystalline NaGdAgPd at its relaxed geometry from Alexandria. Energies are from PBE-GGA.

Output
E_form, eV per atom: -0.29
Symmetry: F-43m (216)
N(E_F), states/eV/atom: 0.937

abc: 4.9898 4.9898 4.9898
angles: 60.00 60.00 60.00
Closest atoms and distances in Å follow each position.
Positions (direct):
Ag1 0.2500 0.2500 0.2500  4 Gd 3.06, 4 Na 3.06
Pd1 0.7500 0.7500 0.7500  4 Gd 3.06, 4 Na 3.06
Gd1 0.0000 0.0000 0.0000  4 Pd 3.06, 4 Ag 3.06
Na1 0.5000 0.5000 0.5000  4 Pd 3.06, 4 Ag 3.06

No. 2
Here is crystalline NaGdAgPt at its relaxed geometry from Alexandria. Energies are from PBE-GGA.

Output
E_form, eV per atom: -0.44
Symmetry: F-43m (216)
N(E_F), states/eV/atom: 0.672

abc: 4.9530 4.9530 4.9530
angles: 60.00 60.00 60.00
Closest atoms and distances in Å follow each position.
Positions (direct):
Gd1 0.0000 0.0000 0.0000  4 Pt 3.03, 4 Ag 3.03
Ag1 0.2500 0.2500 0.2500  4 Gd 3.03, 4 Na 3.03
Na1 0.5000 0.5000 0.5000  4 Ag 3.03, 4 Pt 3.03
Pt1 0.7500 0.7500 0.7500  4 Na 3.03, 4 Gd 3.03

No. 3
Here is crystalline NaGdAgSb at its relaxed geometry from Alexandria. Energies are from PBE-GGA.

Output
Uncorrected formation energy, eV per atom: -0.477
Symmetry: F-43m (216)
N(E_F), states/eV/atom: 0.598

abc: 5.2278 5.2278 5.2278
angles: 60.00 60.00 60.00
Closest atoms and distances in Å follow each position.
Positions (direct):
Ag1 0.2500 0.2500 0.2500  4 Gd 3.20, 4 Na 3.20
Gd1 0.0000 0.0000 0.0000  4 Ag 3.20, 4 Sb 3.20
Na1 0.5000 0.5000 0.5000  4 Sb 3.20, 4 Ag 3.20
Sb1 0.7500 0.7500 0.7500  4 Na 3.20, 4 Gd 3.20

No. 4
Here is crystalline NaGdAgSn at its relaxed geometry from Alexandria. Energies are from PBE-GGA.

Output
E_form, eV per atom: -0.33
Symmetry: F-43m (216)
N(E_F), states/eV/atom: 0.689

abc: 5.1988 5.1988 5.1988
angles: 60.00 60.00 60.00
Closest atoms and distances in Å follow each position.
Positions (direct):
Ag1 0.7500 0.7500 0.7500  4 Na 3.18, 4 Gd 3.18
Na1 0.5000 0.5000 0.5000  4 Sn 3.18, 4 Ag 3.18
Sn1 0.2500 0.2500 0.2500  4 Gd 3.18, 4 Na 3.18
Gd1 0.0000 0.0000 0.0000  4 Ag 3.18, 4 Sn 3.18

No. 5
Here is crystalline NaGdTlAg at its relaxed geometry from Alexandria. Energies are from PBE-GGA.

Output
E_form, eV per atom: -0.16
Symmetry: F-43m (216)
N(E_F), states/eV/atom: 0.769

abc: 5.2191 5.2191 5.2191
angles: 60.00 60.00 60.00
Closest atoms and distances in Å follow each position.
Positions (direct):
Gd1 0.0000 0.0000 0.0000  4 Tl 3.20, 4 Ag 3.20
Na1 0.5000 0.5000 0.5000  4 Tl 3.20, 4 Ag 3.20
Tl1 0.7500 0.7500 0.7500  4 Na 3.20, 4 Gd 3.20
Ag1 0.2500 0.2500 0.2500  4 Gd 3.20, 4 Na 3.20

No. 6
Here is crystalline Nd2GdAg at its relaxed geometry from Alexandria. Energies are from PBE-GGA.

Output
E_form, eV per atom: -0.10
Symmetry: P4/mmm (123)
Energy above the lowest structure with this stoichiometry, kJ/mol of atoms: 0.0
N(E_F), states/eV/atom: 1.508

abc: 3.7028 3.7028 8.8501
angles: 90.00 90.00 90.00
Closest atoms and distances in Å follow each position.
Positions (direct):
Nd1 0.0000 0.0000 0.7831  4 Ag 3.25, 4 Gd 3.62
Ag1 0.5000 0.5000 0.0000  8 Nd 3.25
Gd1 0.5000 0.5000 0.5000  8 Nd 3.62, 4 Gd 3.70
Nd2 0.0000 0.0000 0.2169  4 Ag 3.25, 4 Gd 3.62

No. 7
Here is crystalline Nd2GdAg at its relaxed geometry from Alexandria. Energies are from PBE-GGA.

Output
E_form, eV per atom: 0.00
Symmetry: R-3m (166)
Energy above the lowest structure with this stoichiometry, kJ/mol of atoms: 9.5
N(E_F), states/eV/atom: 1.134

abc: 3.6409 3.6409 10.9546
angles: 80.43 80.43 60.00
Closest atoms and distances in Å follow each position.
Positions (direct):
Ag1 0.5000 0.5000 0.5000  6 Nd 3.21
Gd1 0.0000 0.0000 0.0000  6 Nd 3.63, 6 Gd 3.64
Nd1 0.2417 0.2417 0.2749  3 Ag 3.21
Nd2 0.7583 0.7583 0.7251  3 Ag 3.21

No. 8
Here is crystalline NdGdAg2 at its relaxed geometry from Alexandria. Energies are from PBE-GGA.

Output
E_form, eV per atom: -0.28
Symmetry: P4/mmm (123)
N(E_F), states/eV/atom: 0.971

abc: 3.7102 3.7102 7.4302
angles: 90.00 90.00 90.00
Closest atoms and distances in Å follow each position.
Positions (direct):
Ag1 0.0000 0.0000 0.2385  4 Gd 3.17, 4 Nd 3.26, 1 Ag 3.54
Nd1 0.5000 0.5000 0.5000  8 Ag 3.26
Ag2 0.0000 0.0000 0.7615  4 Gd 3.17, 4 Nd 3.26, 1 Ag 3.54
Gd1 0.5000 0.5000 0.0000  8 Ag 3.17

No. 9
Here is crystalline Nd2GdAg at its relaxed geometry from Alexandria. Energies are from PBE-GGA.

Output
E_form, eV per atom: 0.06
Symmetry: Fm-3m (225)
Energy above the lowest structure with this stoichiometry, kJ/mol of atoms: 15.7
N(E_F), states/eV/atom: 1.567

abc: 5.4958 5.4958 5.4958
angles: 60.00 60.00 60.00
Closest atoms and distances in Å follow each position.
Positions (direct):
Gd1 0.0000 0.0000 0.0000  8 Nd 3.37
Nd1 0.2500 0.2500 0.2500  4 Ag 3.37, 4 Gd 3.37
Nd2 0.7500 0.7500 0.7500  4 Gd 3.37, 4 Ag 3.37
Ag1 0.5000 0.5000 0.5000  8 Nd 3.37

No. 10
Here is crystalline NdGdAg4 at its relaxed geometry from Alexandria. Energies are from PBE-GGA.

Output
E_form, eV per atom: -0.16
Symmetry: F-43m (216)
N(E_F), states/eV/atom: 0.968

abc: 5.7644 5.7644 5.7644
angles: 60.00 60.00 60.00
Closest atoms and distances in Å follow each position.
Positions (direct):
Gd1 0.2500 0.2500 0.2500  12 Ag 3.38, 4 Nd 3.53
Ag1 0.6248 0.6248 0.6248  6 Ag 2.88-2.89
Nd1 0.0000 0.0000 0.0000  12 Ag 3.38, 4 Gd 3.53
Ag2 0.6248 0.1257 0.6248  6 Ag 2.88-2.89
Ag3 0.6248 0.6248 0.1257  6 Ag 2.88-2.89
Ag4 0.1257 0.6248 0.6248  6 Ag 2.88-2.89

No. 11
Here is crystalline NdGdAgPd at its relaxed geometry from Alexandria. Energies are from PBE-GGA.

Output
E_form, eV per atom: -0.52
Symmetry: F-43m (216)
N(E_F), states/eV/atom: 0.861

abc: 5.1576 5.1576 5.1576
angles: 60.00 60.00 60.00
Closest atoms and distances in Å follow each position.
Positions (direct):
Ag1 0.2500 0.2500 0.2500  4 Gd 3.16, 4 Nd 3.16
Nd1 0.5000 0.5000 0.5000  4 Pd 3.16, 4 Ag 3.16
Gd1 0.0000 0.0000 0.0000  4 Pd 3.16, 4 Ag 3.16
Pd1 0.7500 0.7500 0.7500  4 Gd 3.16, 4 Nd 3.16

No. 12
Here is crystalline NdGdAgPt at its relaxed geometry from Alexandria. Energies are from PBE-GGA.

Output
E_form, eV per atom: -0.70
Symmetry: F-43m (216)
N(E_F), states/eV/atom: 0.563

abc: 5.1317 5.1317 5.1317
angles: 60.00 60.00 60.00
Closest atoms and distances in Å follow each position.
Positions (direct):
Gd1 0.0000 0.0000 0.0000  4 Pt 3.14, 4 Ag 3.14
Ag1 0.7500 0.7500 0.7500  4 Gd 3.14, 4 Nd 3.14
Nd1 0.5000 0.5000 0.5000  4 Ag 3.14, 4 Pt 3.14
Pt1 0.2500 0.2500 0.2500  4 Gd 3.14, 4 Nd 3.14

No. 13
Here is crystalline NdGdAgRh at its relaxed geometry from Alexandria. Energies are from PBE-GGA.

Output
E_form, eV per atom: -0.48
Symmetry: F-43m (216)
N(E_F), states/eV/atom: 0.903

abc: 5.0957 5.0957 5.0957
angles: 60.00 60.00 60.00
Closest atoms and distances in Å follow each position.
Positions (direct):
Rh1 0.2500 0.2500 0.2500  4 Gd 3.12, 4 Nd 3.12
Gd1 0.5000 0.5000 0.5000  4 Ag 3.12, 4 Rh 3.12
Nd1 0.0000 0.0000 0.0000  4 Rh 3.12, 4 Ag 3.12
Ag1 0.7500 0.7500 0.7500  4 Gd 3.12, 4 Nd 3.12

No. 14
Here is crystalline NdGdAgRu at its relaxed geometry from Alexandria. Energies are from PBE-GGA.

Output
E_form, eV per atom: -0.24
Symmetry: F-43m (216)
N(E_F), states/eV/atom: 0.734

abc: 5.0667 5.0667 5.0667
angles: 60.00 60.00 60.00
Closest atoms and distances in Å follow each position.
Positions (direct):
Ag1 0.2500 0.2500 0.2500  4 Gd 3.10, 4 Nd 3.10
Ru1 0.7500 0.7500 0.7500  4 Gd 3.10, 4 Nd 3.10
Gd1 0.5000 0.5000 0.5000  4 Ru 3.10, 4 Ag 3.10
Nd1 0.0000 0.0000 0.0000  4 Ru 3.10, 4 Ag 3.10

No. 15
Here is crystalline NdGdAgSb at its relaxed geometry from Alexandria. Energies are from PBE-GGA.

Output
Uncorrected formation energy, eV per atom: -0.600
Symmetry: F-43m (216)
N(E_F), states/eV/atom: 1.294

abc: 5.3394 5.3394 5.3394
angles: 60.00 60.00 60.00
Closest atoms and distances in Å follow each position.
Positions (direct):
Ag1 0.0000 0.0000 0.0000  4 Nd 3.27, 4 Gd 3.27
Sb1 0.5000 0.5000 0.5000  4 Gd 3.27, 4 Nd 3.27
Nd1 0.2500 0.2500 0.2500  4 Sb 3.27, 4 Ag 3.27
Gd1 0.7500 0.7500 0.7500  4 Sb 3.27, 4 Ag 3.27

No. 16
Here is crystalline NdGdAgSn at its relaxed geometry from Alexandria. Energies are from PBE-GGA.

Output
E_form, eV per atom: -0.53
Symmetry: F-43m (216)
N(E_F), states/eV/atom: 1.003

abc: 5.3458 5.3458 5.3458
angles: 60.00 60.00 60.00
Closest atoms and distances in Å follow each position.
Positions (direct):
Nd1 0.0000 0.0000 0.0000  4 Sn 3.27, 4 Ag 3.27
Sn1 0.2500 0.2500 0.2500  4 Gd 3.27, 4 Nd 3.27
Gd1 0.5000 0.5000 0.5000  4 Ag 3.27, 4 Sn 3.27
Ag1 0.7500 0.7500 0.7500  4 Gd 3.27, 4 Nd 3.27

No. 17
Here is crystalline NdGdTlAg at its relaxed geometry from Alexandria. Energies are from PBE-GGA.

Output
E_form, eV per atom: -0.34
Symmetry: F-43m (216)
N(E_F), states/eV/atom: 1.147

abc: 5.3705 5.3705 5.3705
angles: 60.00 60.00 60.00
Closest atoms and distances in Å follow each position.
Positions (direct):
Nd1 0.5000 0.5000 0.5000  4 Ag 3.29, 4 Tl 3.29
Gd1 0.0000 0.0000 0.0000  4 Tl 3.29, 4 Ag 3.29
Tl1 0.7500 0.7500 0.7500  4 Nd 3.29, 4 Gd 3.29
Ag1 0.2500 0.2500 0.2500  4 Gd 3.29, 4 Nd 3.29

No. 18
Here is crystalline NdGdYAg at its relaxed geometry from Alexandria. Energies are from PBE-GGA.

Output
E_form, eV per atom: 0.06
Symmetry: F-43m (216)
N(E_F), states/eV/atom: 1.627

abc: 5.4426 5.4426 5.4426
angles: 60.00 60.00 60.00
Closest atoms and distances in Å follow each position.
Positions (direct):
Nd1 0.2500 0.2500 0.2500  4 Gd 3.33, 4 Ag 3.33
Y1 0.7500 0.7500 0.7500  4 Ag 3.33, 4 Gd 3.33
Ag1 0.0000 0.0000 0.0000  4 Y 3.33, 4 Nd 3.33
Gd1 0.5000 0.5000 0.5000  4 Y 3.33, 4 Nd 3.33

No. 19
Here is crystalline GdNiAg at its relaxed geometry from Alexandria. Energies are from PBE-GGA.

Output
E_form, eV per atom: -0.21
Symmetry: P-6m2 (187)
N(E_F), states/eV/atom: 0.565

abc: 3.6038 4.4331 4.4331
angles: 120.00 90.00 90.00
Closest atoms and distances in Å follow each position.
Positions (direct):
Ag1 0.1666 0.3333 0.6667  3 Ni 2.56
Ni1 0.1668 0.0000 0.0000  3 Ag 2.56
Gd1 0.6666 0.6667 0.3333  6 Ni 3.13, 6 Ag 3.13

No. 20
Here is crystalline GdNiAg at its relaxed geometry from Alexandria. Energies are from PBE-GGA.

Output
E_form, eV per atom: -0.15
Symmetry: F-43m (216)
N(E_F), states/eV/atom: 0.544

abc: 4.5222 4.5222 4.5222
angles: 60.00 60.00 60.00
Closest atoms and distances in Å follow each position.
Positions (direct):
Ag1 0.5000 0.5000 0.5000  4 Ni 2.77
Ni1 0.2500 0.2500 0.2500  4 Gd 2.77, 4 Ag 2.77
Gd1 0.0000 0.0000 0.0000  4 Ni 2.77

In order of appearance, E_tot = -6.15, -6.51, -6.07, -5.89, -5.32, -6.72, -6.62, -6.42, -6.56, -5.21, -7.24, -7.64, -7.74, -7.98, -7.06, -6.96, -6.35, -6.98, -7.78, -7.72 eV per atom.